1.
## PuCN2F (PBE-GGA)

Data for a relaxed structure of PuCN2F.

Lattice parameters (Å, degrees): 5.5705 3.6383 6.6751 90.00 96.86 90.00
Last column: nearest neighbours and their distance in Å.
Space group P2_1/m (No. 11)
Inequivalent atoms, fractional coordinates:
Pu  0.1432  0.2500  0.2574 x2  3 F 2.45-2.49, 5 N 2.50-2.53
C  0.3559  0.2500  0.8334 x2  2 N 1.22-1.25
N  0.1440  0.2500  0.8782 x2  1 C 1.25
N  0.4380  0.7500  0.2103 x2  1 C 1.22
F  0.1701  0.7500  0.5146 x2  3 Pu 2.45-2.49, 2 F 2.62, 1 N 2.66



2.
## BaY2Os (PBE-GGA)

Data for a relaxed structure of BaY2Os.

Lattice parameters (Å, degrees): 3.5007 4.8014 15.8561 90.00 90.00 90.00
Last column: nearest neighbours and their distance in Å.
Space group Imm2 (No. 44)
Inequivalent atoms, fractional coordinates:
Ba  0.0000  0.0000  0.0000 x2  2 Os 3.36, 2 Ba 3.50, 2 Y 3.64
Y  0.0000  0.0000  0.6831 x2  2 Os 2.78
Y  0.0000  0.5000  0.8274 x2  4 Os 2.97, 2 Y 3.32
Os  0.0000  0.5000  0.3194 x2  6 Y 2.78-2.97

Output
**Distance to the lowest polymorph of the same formula**: 191.4 meV/atom
**Energy of formation**: 0.6 eV per formula unit



3.
## Nd3AlIr3 (PBE-GGA)

Data for a relaxed structure of Nd3AlIr3.

Lattice parameters (Å, degrees): 4.1533 10.6837 14.1079 90.00 90.00 90.00
Last column: nearest neighbours and their distance in Å.
Space group Cmcm (No. 63)
Inequivalent atoms, fractional coordinates:
Nd  0.0000  0.0094  0.2500 x4  7 Ir 3.05-3.18
Nd  0.0000  0.2900  0.1067 x8  6 Ir 2.98-3.09
Al  0.0000  0.0000  0.0000 x4  4 Ir 2.55
Ir  0.0000  0.2762  0.7500 x4  2 Ir 2.78, 7 Nd 2.98-3.09
Ir  0.0000  0.4231  0.5876 x8  2 Al 2.55, 1 Ir 2.78

Output
**Energy of formation**: -5.3 eV per formula unit



4.
## Pm4Nd3In (PBE-GGA)

Data for a relaxed structure of Pm4Nd3In.

Lattice parameters (Å, degrees): 11.5132 7.2491 6.3065 90.00 90.00 90.00
Last column: nearest neighbours and their distance in Å.
Space group Pmn2_1 (No. 31)
Inequivalent atoms, fractional coordinates:
Pm  0.0000  0.1265  0.0000 x2  5 Pm 3.44-3.68, 4 Nd 3.46-3.80, 2 In 3.59-3.67
Pm  0.0000  0.8690  0.5410 x2  5 Pm 3.44-3.73, 2 In 3.53-3.73, 4 Nd 3.59-3.66
Pm  0.2319  0.8688  0.1822 x4  1 In 3.37, 6 Pm 3.46-3.73, 5 Nd 3.52-3.75
Nd  0.0000  0.3737  0.5309 x2  6 Pm 3.46-3.80, 4 Nd 3.50-3.60, 2 In 3.58-3.67
Nd  0.2432  0.3840  0.1988 x4  2 In 3.47-3.59, 4 Nd 3.50-3.60, 6 Pm 3.52-3.75
In  0.0000  0.6208  0.0225 x2  6 Pm 3.37-3.73, 6 Nd 3.47-3.67

Output
**Distance to the lowest polymorph of the same formula**: 0.0 meV/atom
**Energy of formation**: -0.8 eV per formula unit



5.
## TbTm3In2 (PBE-GGA)

Data for a relaxed structure of TbTm3In2.

Lattice parameters (Å, degrees): 16.0691 5.3030 9.1636 90.00 120.15 90.00
Last column: nearest neighbours and their distance in Å.
Space group C2/m (No. 12)
Inequivalent atoms, fractional coordinates:
Tb  0.1312  0.0000  0.1661 x4  5 In 3.18-3.47, 2 Tm 3.49
Tm  0.0580  0.0000  0.7146 x4  3 In 3.35-3.42, 8 Tm 3.40-3.72, 2 Tb 3.69-3.71
Tm  0.1156  0.5000  0.5472 x4  3 In 2.99-3.11
Tm  0.1921  0.5000  0.9902 x4  2 In 3.01-3.36, 2 Tm 3.19
In  0.0238  0.5000  0.1716 x4  1 In 2.84, 2 Tm 2.99-3.01, 2 Tb 3.18
In  0.2276  0.0000  0.5935 x4  5 Tm 3.11-3.42, 3 Tb 3.41-3.47, 3 In 3.42-3.46

Output
**Distance to the lowest polymorph of the same formula**: 38.8 meV/atom
**Energy of formation**: -1.4 eV per formula unit



6.
## LaGdCl2 (PBE-GGA)

Data for a relaxed structure of LaGdCl2.

Lattice parameters (Å, degrees): 3.7242 3.7242 29.0541 90.00 90.00 120.00
Last column: nearest neighbours and their distance in Å.
Space group R-3m (No. 166, hexagonal axes)
Inequivalent atoms, fractional coordinates:
La  0.0000  0.0000  0.0000 x3  6 Cl 3.00
Gd  0.0000  0.0000  0.5000 x3  2 Cl 2.75
Cl  0.0000  0.0000  0.4054 x6  1 Gd 2.75, 3 La 3.00



7.
## DyPa6N12 (PBE-GGA)

Data for a relaxed structure of DyPa6N12.

Lattice parameters (Å, degrees): 10.1917 10.1917 9.3816 90.00 90.00 120.00
Last column: nearest neighbours and their distance in Å.
Space group R-3 (No. 148, hexagonal axes)
Inequivalent atoms, fractional coordinates:
Dy  0.0000  0.0000  0.0000 x3  6 N 2.33
Pa  0.0496  0.2559  0.6570 x18  7 N 2.25-2.48
N  0.0359  0.2236  0.4006 x18  4 Pa 2.27-2.42
N  0.0415  0.2249  0.8949 x18  3 Pa 2.25-2.48, 1 Dy 2.33



8.
## La2PdCl (PBE-GGA)

Data for a relaxed structure of La2PdCl.

Lattice parameters (Å, degrees): 4.2517 4.2517 22.1164 90.00 90.00 120.00
Last column: nearest neighbours and their distance in Å.
Space group R-3m (No. 166, hexagonal axes)
Inequivalent atoms, fractional coordinates:
La  0.0000  0.0000  0.2413 x6  3 Pd 2.96, 3 Cl 3.19
Pd  0.0000  0.0000  0.5000 x3  6 La 2.96
Cl  0.0000  0.0000  0.0000 x3  6 La 3.19

Output
**Distance to the lowest polymorph of the same formula**: 0.0 meV/atom



no.,E (eV/atom),spin magnetization (μB/cell)
1,-9.737,10.0
2,-6.368,0.0
3,-7.129,0.0
4,-4.608,0.0
5,-4.155,1.3
6,-7.080,21.2
7,-9.971,0.0
8,-5.393,0.0